Entry 1:
The following is a PBE calculation of a relaxed Ti7Sn2O2 crystal, from Alexandria.

Computed properties:
The space-group type is C2/m, No. 12. The calculation puts the uncorrected formation energy at -0.795 eV/atom.

Geometry as CIF:
```
data_Ti7Sn2O2
_cell_length_a 6.510
_cell_length_b 6.510
_cell_length_c 4.793
_cell_angle_alpha 105.21
_cell_angle_beta 105.21
_cell_angle_gamma 92.04
_symmetry_space_group_name_H-M 'P 1'
_symmetry_Int_Tables_number 1
loop_
_symmetry_equiv_pos_as_xyz
'x,y,z'
loop_
_atom_site_label
_atom_site_fract_x
_atom_site_fract_y
_atom_site_fract_z
_atom_site_occupancy
Ti1 0.000 0.000 0.000 1
Ti2 0.162 0.486 0.868 1
Ti3 0.346 0.346 0.421 1
Ti4 0.486 0.162 0.868 1
Ti5 0.514 0.838 0.132 1
Ti6 0.654 0.654 0.579 1
Ti7 0.838 0.514 0.132 1
Sn1 0.223 0.777 0.500 1
Sn2 0.777 0.223 0.500 1
O1 0.227 0.227 0.996 1
O2 0.773 0.773 0.004 1
```

Entry 2:
The following is a PBE calculation of a relaxed Ti5Sn3O crystal, from Alexandria.

Computed properties:
The space-group type is P6_3/mcm, No. 193. The calculation puts the uncorrected formation energy at -0.849 eV/atom.

Geometry as CIF:
```
data_Ti5Sn3O
_cell_length_a 8.050
_cell_length_b 8.050
_cell_length_c 5.427
_cell_angle_alpha 90.00
_cell_angle_beta 90.00
_cell_angle_gamma 120.00
_symmetry_space_group_name_H-M 'P 1'
_symmetry_Int_Tables_number 1
loop_
_symmetry_equiv_pos_as_xyz
'x,y,z'
loop_
_atom_site_label
_atom_site_fract_x
_atom_site_fract_y
_atom_site_fract_z
_atom_site_occupancy
Ti1 0.000 0.219 0.250 1
Ti2 0.000 0.781 0.750 1
Ti3 0.219 0.000 0.250 1
Ti4 0.219 0.219 0.750 1
Ti5 0.333 0.667 0.000 1
Ti6 0.333 0.667 0.500 1
Ti7 0.667 0.333 0.000 1
Ti8 0.667 0.333 0.500 1
Ti9 0.781 0.000 0.750 1
Ti10 0.781 0.781 0.250 1
Sn1 0.000 0.404 0.750 1
Sn2 0.000 0.596 0.250 1
Sn3 0.404 0.000 0.750 1
Sn4 0.404 0.404 0.250 1
Sn5 0.596 0.000 0.250 1
Sn6 0.596 0.596 0.750 1
O1 0.000 0.000 0.000 1
O2 0.000 0.000 0.500 1
```

Entry 3:
The following is a PBE calculation of a relaxed Ti4SnO10 crystal, from Alexandria.

Computed properties:
The space-group type is P-1, No. 2. The calculation puts the uncorrected formation energy at -2.710 eV/atom.

Geometry as CIF:
```
data_Ti4SnO10
_cell_length_a 4.704
_cell_length_b 5.595
_cell_length_c 12.990
_cell_angle_alpha 78.37
_cell_angle_beta 89.99
_cell_angle_gamma 89.82
_symmetry_space_group_name_H-M 'P 1'
_symmetry_Int_Tables_number 1
loop_
_symmetry_equiv_pos_as_xyz
'x,y,z'
loop_
_atom_site_label
_atom_site_fract_x
_atom_site_fract_y
_atom_site_fract_z
_atom_site_occupancy
Ti1 0.000 0.000 0.000 1
Ti2 0.007 0.203 0.199 1
Ti3 0.010 0.576 0.599 1
Ti4 0.488 0.066 0.601 1
Ti5 0.500 0.500 0.000 1
Ti6 0.512 0.934 0.399 1
Ti7 0.990 0.424 0.401 1
Ti8 0.993 0.797 0.801 1
Sn1 0.499 0.702 0.201 1
Sn2 0.501 0.298 0.799 1
O1 0.182 0.054 0.861 1
O2 0.182 0.455 0.262 1
O3 0.189 0.655 0.461 1
O4 0.198 0.251 0.063 1
O5 0.201 0.850 0.662 1
O6 0.300 0.755 0.055 1
O7 0.300 0.968 0.265 1
O8 0.301 0.564 0.865 1
O9 0.304 0.353 0.654 1
O10 0.307 0.154 0.463 1
O11 0.693 0.846 0.537 1
O12 0.696 0.647 0.346 1
O13 0.699 0.436 0.135 1
O14 0.700 0.032 0.735 1
O15 0.700 0.245 0.945 1
O16 0.799 0.150 0.338 1
O17 0.802 0.749 0.937 1
O18 0.811 0.345 0.539 1
O19 0.818 0.545 0.738 1
O20 0.818 0.946 0.139 1
```